a.
A relaxed CeHo3Tm4 crystal, computed with PBE-GGA.

The value obtained for the density of states at the Fermi level is 32.047 states/eV per cell. The value obtained for the total moment is 1.9 μB per cell.

It has space group C2/m (No. 12), with a = 23.178 Å, b = 3.395 Å, c = 6.609 Å, α = 90.00°, β = 106.52° and γ = 90.00°. The distinct sites, in fractional coordinates, are Ce at (0.000, 0.000, 0.000), Ho at (0.000, 0.500, 0.500), Ho at (0.126, 0.500, 0.370), Tm at (0.125, 0.500, 0.883) and Tm at (0.240, 0.000, 0.238).

***

b.
A relaxed CeHo3Tm4 crystal, computed with PBE-GGA.

The value obtained for the density of states at the Fermi level is 30.415 states/eV per cell. The value obtained for the total moment is 2.5 μB per cell.

It has space group Pmn2_1 (No. 31), with a = 11.168 Å, b = 7.150 Å, c = 6.182 Å, α = 90.00°, β = 90.00° and γ = 90.00°. The distinct sites, in fractional coordinates, are Ce at (0.000, 0.124, 0.000), Ho at (0.000, 0.876, 0.502), Ho at (0.250, 0.125, 0.333), Tm at (0.000, 0.375, 0.502), Tm at (0.000, 0.624, 0.000) and Tm at (0.250, 0.374, 0.837).

***

Relative energies with respect to the most stable structure, expressed in meV per atom: a 164; b 0.

***

a.
A relaxed CeHo8Tm2 crystal, computed with PBE-GGA.

The value obtained for the density of states at the Fermi level is 34.236 states/eV per cell. The value obtained for the total moment is 2.2 μB per cell.

It has space group C2/m (No. 12), with a = 17.960 Å, b = 4.972 Å, c = 7.866 Å, α = 90.00°, β = 105.24° and γ = 90.00°. The distinct sites, in fractional coordinates, are Ce at (0.000, 0.000, 0.000), Ho at (0.045, 0.500, 0.730), Ho at (0.091, 0.000, 0.455), Ho at (0.136, 0.500, 0.182), Ho at (0.181, 0.000, 0.908) and Tm at (0.229, 0.500, 0.637).

***

b.
A relaxed CeHo8Tm2 crystal, computed with PBE-GGA.

The value obtained for the density of states at the Fermi level is 43.088 states/eV per cell. The value obtained for the total moment is 2.0 μB per cell.

It has space group C2/m (No. 12), with a = 18.981 Å, b = 6.852 Å, c = 5.501 Å, α = 90.00°, β = 92.74° and γ = 90.00°. The distinct sites, in fractional coordinates, are Ce at (0.000, 0.000, 0.000), Ho at (0.046, 0.500, 0.239), Ho at (0.134, 0.266, 0.734), Ho at (0.188, 0.000, 0.234) and Tm at (0.216, 0.500, 0.249).

***

Relative energies with respect to the most stable structure, expressed in meV per atom: a 0; b 133.

***

a.
A relaxed CeHo4Tm6 crystal, computed with PBE-GGA.

The value obtained for the density of states at the Fermi level is 81.738 states/eV per cell. The value obtained for the total moment is 2.9 μB per cell.

It has space group Cmcm (No. 63), with a = 5.564 Å, b = 9.612 Å, c = 25.375 Å, α = 90.00°, β = 90.00° and γ = 90.00°. The distinct sites, in fractional coordinates, are Ce at (0.000, 0.169, 0.250), Ho at (0.000, 0.166, 0.541), Ho at (0.000, 0.498, 0.622), Tm at (0.000, 0.165, 0.681), Tm at (0.000, 0.168, 0.102), Tm at (0.000, 0.498, 0.750) and Tm at (0.000, 0.500, 0.000).

***

b.
A relaxed CeHo4Tm6 crystal, computed with PBE-GGA.

The value obtained for the density of states at the Fermi level is 44.445 states/eV per cell. The value obtained for the total moment is 3.5 μB per cell.

It has space group I-42m (No. 121), with a = 7.637 Å, b = 7.637 Å, c = 12.796 Å, α = 90.00°, β = 90.00° and γ = 90.00°. The distinct sites, in fractional coordinates, are Ce at (0.000, 0.000, 0.000), Ho at (0.167, 0.167, 0.425), Tm at (0.000, 0.500, 0.000) and Tm at (0.249, 0.249, 0.684).

***

Relative energies with respect to the most stable structure, expressed in meV per atom: a 0; b 361.

***

a.
A relaxed CeHoTm crystal, computed with PBE-GGA.

The value obtained for the density of states at the Fermi level is 51.790 states/eV per cell. The value obtained for the total moment is 5.4 μB per cell.

It has space group Cmce (No. 64), with a = 10.560 Å, b = 6.422 Å, c = 10.575 Å, α = 90.00°, β = 90.00° and γ = 90.00°. The distinct sites, in fractional coordinates, are Ce at (0.250, 0.249, 0.250), Ho at (0.000, 0.001, 0.657) and Tm at (0.157, 0.000, 0.000).

***

b.
A relaxed CeHoTm crystal, computed with PBE-GGA.

The value obtained for the density of states at the Fermi level is 12.937 states/eV per cell. The value obtained for the total moment is 1.5 μB per cell.

It has space group I4mm (No. 107), with a = 3.497 Å, b = 3.497 Å, c = 14.837 Å, α = 90.00°, β = 90.00° and γ = 90.00°. The distinct sites, in fractional coordinates, are Ce at (0.000, 0.000, 0.000), Ho at (0.000, 0.000, 0.335) and Tm at (0.000, 0.000, 0.664).

***

c.
A relaxed CeHoTm crystal, computed with PBE-GGA.

The value obtained for the density of states at the Fermi level is 13.883 states/eV per cell. The value obtained for the total moment is 1.7 μB per cell.

It has space group P2_1/m (No. 11), with a = 3.427 Å, b = 5.309 Å, c = 10.090 Å, α = 90.00°, β = 99.76° and γ = 90.00°. The distinct sites, in fractional coordinates, are Ce at (0.209, 0.250, 0.419), Ho at (0.385, 0.250, 0.767) and Tm at (0.040, 0.250, 0.084).

***

Relative energies with respect to the most stable structure, expressed in meV per atom: a 171; b 0; c 14.

***

a.
A relaxed CeHoTm crystal, computed with PBE-GGA.

The value obtained for the density of states at the Fermi level is 26.333 states/eV per cell. The value obtained for the total moment is 2.5 μB per cell.

It has space group Cmcm (No. 63), with a = 4.944 Å, b = 14.835 Å, c = 4.937 Å, α = 90.00°, β = 90.00° and γ = 90.00°. The distinct sites, in fractional coordinates, are Ce at (0.000, 0.250, 0.250), Ho at (0.000, 0.086, 0.750) and Tm at (0.000, 0.415, 0.750).

***

b.
A relaxed CeHoTm crystal, computed with PBE-GGA.

The value obtained for the density of states at the Fermi level is 6.375 states/eV per cell. The value obtained for the total moment is 0.6 μB per cell.

It has space group P3m1 (No. 156), with a = 3.4870 Å, b = 3.4870 Å, c = 8.5528 Å, α = 90.00°, β = 90.00° and γ = 120.00°. The distinct sites, in fractional coordinates, are Ce at (0.0000, 0.0000, 0.0000), Ho at (0.3333, 0.6667, 0.6674) and Tm at (0.6667, 0.3333, 0.3301).

***

Relative energies with respect to the most stable structure, expressed in meV per atom: a 12; b 0.

***

a.
A relaxed Ce2HoTm crystal, computed with PBE-GGA.

The value obtained for the density of states at the Fermi level is 30.761 states/eV per cell. The value obtained for the total moment is 4.4 μB per cell.

It has space group R-3m (No. 166, hexagonal axes), with a = 3.4659 Å, b = 3.4659 Å, c = 34.2079 Å, α = 90.00°, β = 90.00° and γ = 120.00°. The distinct sites, in fractional coordinates, are Ce at (0.0000, 0.0000, 0.2504), Ho at (0.0000, 0.0000, 0.5000) and Tm at (0.0000, 0.0000, 0.0000).

***

b.
A relaxed Ce2HoTm crystal, computed with PBE-GGA.

The value obtained for the density of states at the Fermi level is 10.316 states/eV per cell. The value obtained for the total moment is 1.5 μB per cell.

It has space group P4/mmm (No. 123), with a = 4.898 Å, b = 4.898 Å, c = 4.989 Å, α = 90.00°, β = 90.00° and γ = 90.00°. The distinct sites, in fractional coordinates, are Ce at (0.000, 0.500, 0.000), Ho at (0.000, 0.000, 0.500) and Tm at (0.500, 0.500, 0.500).

***

c.
A relaxed Ce2HoTm crystal, computed with PBE-GGA.

The value obtained for the density of states at the Fermi level is 41.159 states/eV per cell. The value obtained for the total moment is 0.0 μB per cell.

It has space group C2/c (No. 15), with a = 8.433 Å, b = 16.879 Å, c = 3.414 Å, α = 90.00°, β = 98.27° and γ = 90.00°. The distinct sites, in fractional coordinates, are Ce at (0.143, 0.084, 0.004), Ho at (0.250, 0.250, 0.500) and Tm at (0.000, 0.411, 0.250).

***

Relative energies with respect to the most stable structure, expressed in meV per atom: a 0; b 19; c 185.

***

a.
A relaxed CeHo2Tm crystal, computed with PBE-GGA.

The value obtained for the density of states at the Fermi level is 21.706 states/eV per cell. The value obtained for the total moment is 2.2 μB per cell.

It has space group R3m (No. 160, hexagonal axes), with a = 3.5045 Å, b = 3.5045 Å, c = 34.3028 Å, α = 90.00°, β = 90.00° and γ = 120.00°. The distinct sites, in fractional coordinates, are Ce at (0.0000, 0.0000, 0.0000), Ho at (0.0000, 0.0000, 0.2502), Ho at (0.0000, 0.0000, 0.4182) and Tm at (0.0000, 0.0000, 0.8345).

***

b.
A relaxed CeHo2Tm crystal, computed with PBE-GGA.

The value obtained for the density of states at the Fermi level is 6.776 states/eV per cell. The value obtained for the total moment is 0.5 μB per cell.

It has space group P4/mmm (No. 123), with a = 4.952 Å, b = 4.952 Å, c = 4.968 Å, α = 90.00°, β = 90.00° and γ = 90.00°. The distinct sites, in fractional coordinates, are Ce at (0.000, 0.000, 0.000), Ho at (0.000, 0.500, 0.500) and Tm at (0.500, 0.500, 0.000).

***

c.
A relaxed CeHo2Tm crystal, computed with PBE-GGA.

The value obtained for the density of states at the Fermi level is 42.678 states/eV per cell. The value obtained for the total moment is 6.0 μB per cell.

It has space group Fm-3m (No. 225), with a = 7.943 Å, b = 7.943 Å, c = 7.943 Å, α = 90.00°, β = 90.00° and γ = 90.00°. The distinct sites, in fractional coordinates, are Ce at (0.000, 0.000, 0.000), Ho at (0.250, 0.250, 0.250) and Tm at (0.000, 0.000, 0.500).

***

d.
A relaxed CeHo2Tm crystal, computed with PBE-GGA.

The value obtained for the density of states at the Fermi level is 35.128 states/eV per cell. The value obtained for the total moment is 4.2 μB per cell.

It has space group C2/c (No. 15), with a = 6.631 Å, b = 26.658 Å, c = 3.512 Å, α = 90.00°, β = 118.85° and γ = 90.00°. The distinct sites, in fractional coordinates, are Ce at (0.250, 0.250, 0.000), Ho at (0.249, 0.053, 0.781) and Tm at (0.000, 0.157, 0.250).

***

Relative energies with respect to the most stable structure, expressed in meV per atom: a 0; b 10; c 119; d 442.

***

a.
A relaxed CeHo2Tm crystal, computed with PBE-GGA.

The value obtained for the density of states at the Fermi level is 7.351 states/eV per cell. The value obtained for the total moment is 0.6 μB per cell.

It has space group P4/mmm (No. 123), with a = 3.499 Å, b = 3.499 Å, c = 9.936 Å, α = 90.00°, β = 90.00° and γ = 90.00°. The distinct sites, in fractional coordinates, are Ce at (0.000, 0.000, 0.000), Ho at (0.500, 0.500, 0.247) and Tm at (0.000, 0.000, 0.500).

***

b.
A relaxed CeHo2Tm crystal, computed with PBE-GGA.

The value obtained for the density of states at the Fermi level is 21.483 states/eV per cell. The value obtained for the total moment is 2.0 μB per cell.

It has space group R-3m (No. 166, hexagonal axes), with a = 3.3811 Å, b = 3.3811 Å, c = 36.5826 Å, α = 90.00°, β = 90.00° and γ = 120.00°. The distinct sites, in fractional coordinates, are Ce at (0.0000, 0.0000, 0.0000), Ho at (0.0000, 0.0000, 0.0891) and Tm at (0.0000, 0.0000, 0.5000).

***

Relative energies with respect to the most stable structure, expressed in meV per atom: a 0; b 107.

***

a.
A relaxed CeHo4Tm5 crystal, computed with PBE-GGA.

The value obtained for the density of states at the Fermi level is 35.562 states/eV per cell. The value obtained for the total moment is 2.9 μB per cell.

It has space group C2/m (No. 12), with a = 17.415 Å, b = 4.960 Å, c = 8.470 Å, α = 90.00°, β = 116.72° and γ = 90.00°. The distinct sites, in fractional coordinates, are Ce at (0.000, 0.000, 0.000), Ho at (0.031, 0.500, 0.270), Ho at (0.177, 0.000, 0.422), Tm at (0.000, 0.000, 0.500), Tm at (0.161, 0.500, 0.701) and Tm at (0.177, 0.500, 0.119).

***

b.
A relaxed CeHo4Tm5 crystal, computed with PBE-GGA.

The value obtained for the density of states at the Fermi level is 31.683 states/eV per cell. The value obtained for the total moment is 0.9 μB per cell.

It has space group I4mm (No. 107), with a = 10.418 Å, b = 10.418 Å, c = 5.765 Å, α = 90.00°, β = 90.00° and γ = 90.00°. The distinct sites, in fractional coordinates, are Ce at (0.000, 0.000, 0.000), Ho at (0.000, 0.325, 0.742), Tm at (0.000, 0.000, 0.529) and Tm at (0.187, 0.187, 0.244).

***

Relative energies with respect to the most stable structure, expressed in meV per atom: a 0; b 11.

***

a.
A relaxed Ce2Ho4Tm5 crystal, computed with PBE-GGA.

The value obtained for the density of states at the Fermi level is 41.975 states/eV per cell. The value obtained for the total moment is 3.0 μB per cell.

It has space group C2/m (No. 12), with a = 22.775 Å, b = 3.461 Å, c = 8.626 Å, α = 90.00°, β = 97.06° and γ = 90.00°. The distinct sites, in fractional coordinates, are Ce at (0.187, 0.000, 0.434), Ho at (0.100, 0.500, 0.697), Ho at (0.130, 0.000, 0.055), Tm at (0.000, 0.500, 0.000), Tm at (0.037, 0.000, 0.347) and Tm at (0.236, 0.000, 0.823).

***

b.
A relaxed Ce2Ho4Tm5 crystal, computed with PBE-GGA.

The value obtained for the density of states at the Fermi level is 50.419 states/eV per cell. The value obtained for the total moment is 6.3 μB per cell.

It has space group Immm (No. 71), with a = 3.429 Å, b = 7.590 Å, c = 27.630 Å, α = 90.00°, β = 90.00° and γ = 90.00°. The distinct sites, in fractional coordinates, are Ce at (0.000, 0.000, 0.103), Ho at (0.000, 0.000, 0.396), Ho at (0.000, 0.319, 0.000), Tm at (0.000, 0.257, 0.196) and Tm at (0.000, 0.500, 0.500).

***

Relative energies with respect to the most stable structure, expressed in meV per atom: a 0; b 335.